No. 1
Crystalline CuSbTe3 at its relaxed geometry. Source: the Alexandria database, functional PBE-GGA.

Calculated values
E in eV/cell: -15.851
Crystal system: cubic
Symmetry: No. 221
Offset from the most stable computed form in meV/atom: 356
Raw formation energy in eV per atom: 0.36

Cell lengths 5.123, 5.123, 5.123 Å; angles 90.00, 90.00, 90.00 degrees
Fractional positions:
Sb1 0.500 0.500 0.500
Te1 0.000 0.500 0.000
Te2 0.000 0.000 0.500
Te3 0.500 0.000 0.000
Cu1 0.000 0.000 0.000

---

No. 2
Crystalline Cu2SbTe at its relaxed geometry. Source: the Alexandria database, functional PBE-GGA.

Calculated values
E in eV/cell: -14.223
Crystal system: orthorhombic
Symmetry: No. 47
Raw formation energy in eV per atom: 0.31

Cell lengths 3.825, 5.646, 3.860 Å; angles 90.00, 90.00, 90.00 degrees
Fractional positions:
Cu1 0.000 0.000 0.000
Cu2 0.500 0.500 0.000
Sb1 0.500 0.000 0.500
Te1 0.000 0.500 0.500

---

No. 3
Crystalline Cu2SbTe2 at its relaxed geometry. Source: the Alexandria database, functional PBE-GGA.

Calculated values
E in eV/cell: -16.580
Crystal system: tetragonal
Symmetry: No. 139
Raw formation energy in eV per atom: 0.40

Cell lengths 4.519, 4.519, 6.435 Å; angles 69.44, 69.44, 90.00 degrees
Fractional positions:
Sb1 0.000 0.000 0.000
Te1 0.750 0.250 0.500
Te2 0.250 0.750 0.500
Cu1 0.392 0.392 0.216
Cu2 0.608 0.608 0.784

---

No. 4
Crystalline Cu2SbTe at its relaxed geometry. Source: the Alexandria database, functional PBE-GGA.

Calculated values
E in eV/cell: -15.107
Crystal system: monoclinic
Symmetry: No. 12
Raw formation energy in eV per atom: 0.09

Cell lengths 3.838, 3.838, 6.741 Å; angles 73.40, 73.40, 60.11 degrees
Fractional positions:
Cu1 0.001 0.001 0.999
Cu2 0.499 0.499 0.501
Sb1 0.250 0.250 0.250
Te1 0.750 0.750 0.750